The following is a PBE calculation of Ca2NiGe2 after structural relaxation, from the Alexandria database.

## Properties
**Symmetry**: P4/mbm
**Energy relative to the elements**: -0.47 eV per atom
**Total DFT energy (no corrections)**: -4.2736 eV per atom

Geometry as extended XYZ:
```
10
Lattice="-2.879 -2.461 5.469 5.617 1.017 3.415 -1.476 4.286 1.151" Properties=species:S:1:pos:R:3 pbc="T T T"
Ni 0.000 0.000 0.000
Ni 1.369 -0.722 4.442
Ge 3.789 -0.008 4.887
Ge 1.137 -1.458 6.885
Ge -1.051 -1.435 3.997
Ge 1.602 0.014 1.999
Ca 2.534 2.407 3.788
Ca 2.001 1.341 7.073
Ca -1.272 0.435 6.248
Ca -0.739 1.502 2.962
```